1.
A relaxed structure of MnSbMo2, computed with PBE-GGA.

The structure in extended XYZ format:
```
4
Lattice="2.7244 -4.3272 0.0000 2.7244 4.3272 0.0000 -0.8486 0.0000 2.8163" Properties=species:S:1:pos:R:3 pbc="T T T"
Mn 0.0000 0.0000 0.0000
Sb 2.7244 0.0000 0.0000
Mo 0.9379 2.1636 1.4082
Mo 0.9379 -2.1636 1.4082
```

Output
DOS(E_F)   1.00 states/eV per atom
ΔE_f (raw)   37.4 kJ per mole of atoms
M_tot   2.75 μB per cell

2.
A relaxed structure of MnSbMo2, computed with PBE-GGA.

The structure in extended XYZ format:
```
4
Lattice="1.5553 0.8980 8.5299 -1.5553 0.8980 8.5299 0.0000 -1.7959 8.5299" Properties=species:S:1:pos:R:3 pbc="T T T"
Mn 0.0000 0.0000 0.0000
Sb 0.0000 0.0000 6.2080
Mo 0.0000 0.0000 12.4307
Mo 0.0000 0.0000 19.0791
```

Output
DOS(E_F)   0.97 states/eV per atom
ΔE_f (raw)   39.0 kJ per mole of atoms
M_tot   3.55 μB per cell

3.
A relaxed structure of Mn2SbMo, computed with PBE-GGA.

The structure in extended XYZ format:
```
4
Lattice="3.3027 0.0000 0.0000 0.0000 3.3027 0.0000 0.0000 0.0000 5.7129" Properties=species:S:1:pos:R:3 pbc="T T T"
Mn 0.0000 0.0000 0.0000
Mn 1.6513 1.6513 1.2605
Sb 1.6513 1.6513 4.2277
Mo 0.0000 0.0000 2.5599
```

Output
DOS(E_F)   0.92 states/eV per atom
ΔE_f (raw)   23.5 kJ per mole of atoms
M_tot   4.86 μB per cell

4.
A relaxed structure of ScMnSb2Mo, computed with PBE-GGA.

The structure in extended XYZ format:
```
5
Lattice="5.2765 0.0000 0.0000 0.0000 5.2765 0.0000 0.0000 0.0000 4.2790" Properties=species:S:1:pos:R:3 pbc="T T T"
Sc 0.0000 0.0000 0.0000
Mn 0.0000 0.0000 2.1395
Sb 0.0000 2.6382 0.0000
Sb 2.6382 0.0000 0.0000
Mo 2.6382 2.6382 2.1395
```

Output
DOS(E_F)   1.46 states/eV per atom
ΔE_f (raw)   132.6 kJ per mole of atoms
M_tot   2.91 μB per cell

5.
A relaxed structure of MnSbMoSe2, computed with PBE-GGA.

The structure in extended XYZ format:
```
5
Lattice="4.8594 0.0000 0.0000 0.0000 4.8594 0.0000 0.0000 0.0000 5.0564" Properties=species:S:1:pos:R:3 pbc="T T T"
Mn 0.0000 0.0000 0.0000
Sb 2.4297 2.4297 0.0000
Mo 0.0000 0.0000 2.5282
Se 0.0000 2.4297 2.5282
Se 2.4297 0.0000 2.5282
```

Output
DOS(E_F)   0.99 states/eV per atom
ΔE_f (raw)   53.0 kJ per mole of atoms
M_tot   2.71 μB per cell

6.
A relaxed structure of TaMn2SbMo, computed with PBE-GGA.

The structure in extended XYZ format:
```
5
Lattice="4.4161 0.0000 0.0000 0.0000 4.4161 0.0000 0.0000 0.0000 5.1345" Properties=species:S:1:pos:R:3 pbc="T T T"
Ta 0.0000 0.0000 0.0000
Mn 0.0000 2.2080 0.0000
Mn 2.2080 0.0000 0.0000
Sb 0.0000 0.0000 2.5672
Mo 2.2080 2.2080 2.5672
```

Output
DOS(E_F)   3.11 states/eV per atom
ΔE_f (raw)   185.9 kJ per mole of atoms
M_tot   0.19 μB per cell

7.
A relaxed structure of MnTcSbMo, computed with PBE-GGA.

The structure in extended XYZ format:
```
4
Lattice="0.0000 3.1538 3.1538 3.1538 0.0000 3.1538 3.1538 3.1538 0.0000" Properties=species:S:1:pos:R:3 pbc="T T T"
Mn 0.0000 0.0000 0.0000
Tc 1.5769 1.5769 1.5769
Sb 3.1538 3.1538 3.1538
Mo 4.7308 4.7308 4.7308
```

Output
DOS(E_F)   0.77 states/eV per atom
ΔE_f (raw)   9.4 kJ per mole of atoms
M_tot   2.02 μB per cell

8.
A relaxed structure of MnSbTe2Mo, computed with PBE-GGA.

The structure in extended XYZ format:
```
5
Lattice="5.1121 0.0000 0.0000 0.0000 5.1121 0.0000 0.0000 0.0000 4.8016" Properties=species:S:1:pos:R:3 pbc="T T T"
Mn 0.0000 0.0000 0.0000
Sb 0.0000 0.0000 2.4008
Te 0.0000 2.5561 0.0000
Te 2.5561 0.0000 0.0000
Mo 2.5561 2.5561 2.4008
```

Output
DOS(E_F)   1.42 states/eV per atom
ΔE_f (raw)   99.9 kJ per mole of atoms
ΔE to the lowest computed polymorph   0.00 eV per formula unit
M_tot   3.63 μB per cell

9.
A relaxed structure of ScMnMo, computed with PBE-GGA.

The structure in extended XYZ format:
```
3
Lattice="0.0000 2.9662 2.9662 2.9662 0.0000 2.9662 2.9662 2.9662 0.0000" Properties=species:S:1:pos:R:3 pbc="T T T"
Sc 0.0000 0.0000 0.0000
Mn 1.4831 1.4831 1.4831
Mo 2.9662 2.9662 2.9662
```

Output
DOS(E_F)   1.59 states/eV per atom
ΔE to the lowest computed polymorph   1.43 eV per formula unit
Formation energy from the elements   424 meV/atom
M_tot   0.00 μB per cell

10.
A relaxed structure of ScMnMo, computed with PBE-GGA.

The structure in extended XYZ format:
```
3
Lattice="-1.5303 1.5303 5.0352 1.5303 -1.5303 5.0352 1.5303 1.5303 -5.0352" Properties=species:S:1:pos:R:3 pbc="T T T"
Sc 0.0000 0.0000 0.0000
Mn 0.0000 0.0000 3.2481
Mo 0.0000 0.0000 6.9869
```

Output
DOS(E_F)   0.68 states/eV per atom
ΔE to the lowest computed polymorph   0.22 eV per formula unit
Formation energy from the elements   21 meV/atom
M_tot   0.00 μB per cell

11.
A relaxed structure of Sc3MnMo, computed with PBE-GGA.

The structure in extended XYZ format:
```
5
Lattice="4.7618 0.0000 0.0000 0.0000 4.7618 0.0000 0.0000 0.0000 4.7618" Properties=species:S:1:pos:R:3 pbc="T T T"
Sc 0.0000 0.0000 2.3809
Sc 0.0000 2.3809 0.0000
Sc 2.3809 0.0000 0.0000
Mn 0.0000 0.0000 0.0000
Mo 2.3809 2.3809 2.3809
```

Output
DOS(E_F)   1.38 states/eV per atom
ΔE to the lowest computed polymorph   0.00 eV per formula unit
Formation energy from the elements   692 meV/atom
M_tot   3.52 μB per cell

12.
A relaxed structure of Sc2MnMo2, computed with PBE-GGA.

The structure in extended XYZ format:
```
10
Lattice="6.1921 0.0000 0.0000 0.0000 6.1921 0.0000 0.0000 0.0000 4.7238" Properties=species:S:1:pos:R:3 pbc="T T T"
Sc 1.0615 2.0346 0.0000
Sc 2.0346 5.1306 0.0000
Sc 4.1575 1.0615 0.0000
Sc 5.1306 4.1575 0.0000
Mn 0.0000 0.0000 2.3619
Mn 3.0961 3.0961 2.3619
Mo 0.9074 4.0035 2.3619
Mo 2.1886 0.9074 2.3619
Mo 4.0035 5.2847 2.3619
Mo 5.2847 2.1886 2.3619
```

Output
DOS(E_F)   1.97 states/eV per atom
Formation energy from the elements   182 meV/atom
M_tot   0.00 μB per cell

13.
A relaxed structure of ScMnMo4, computed with PBE-GGA.

The structure in extended XYZ format:
```
6
Lattice="0.0000 3.7350 3.7350 3.7350 0.0000 3.7350 3.7350 3.7350 0.0000" Properties=species:S:1:pos:R:3 pbc="T T T"
Sc 0.0000 0.0000 0.0000
Mn 5.6025 5.6025 5.6025
Mo 2.7985 2.7985 2.7985
Mo 4.6714 4.6714 2.7985
Mo 4.6714 2.7985 4.6714
Mo 2.7985 4.6714 4.6714
```

Output
DOS(E_F)   0.98 states/eV per atom
Formation energy from the elements   234 meV/atom
M_tot   2.47 μB per cell

14.
A relaxed structure of ScMnMo, computed with PBE-GGA.

The structure in extended XYZ format:
```
6
Lattice="-2.5760 2.6348 3.5683 2.5760 -2.6348 3.5683 2.5760 2.6348 -3.5683" Properties=species:S:1:pos:R:3 pbc="T T T"
Sc 0.0000 1.3174 0.8576
Sc 2.5760 1.3174 2.7107
Mn 1.2880 1.3174 -1.7841
Mn 1.2880 -1.3174 1.7841
Mo 2.5760 0.0000 0.0000
Mo 0.0000 0.0000 3.5683
```

Output
DOS(E_F)   0.93 states/eV per atom
ΔE to the lowest computed polymorph   0.00 eV per formula unit
Formation energy from the elements   -51 meV/atom
M_tot   0.00 μB per cell

15.
A relaxed structure of ScMnMo, computed with PBE-GGA.

The structure in extended XYZ format:
```
3
Lattice="0.0000 2.3018 6.4084 1.6507 0.0000 6.4084 1.6507 2.3018 0.0000" Properties=species:S:1:pos:R:3 pbc="T T T"
Sc 0.0000 0.0000 0.0000
Mn 1.6507 2.3018 4.2404
Mo 1.6507 2.3018 8.8115
```

Output
DOS(E_F)   1.34 states/eV per atom
ΔE to the lowest computed polymorph   0.87 eV per formula unit
Formation energy from the elements   240 meV/atom
M_tot   1.76 μB per cell

16.
A relaxed structure of ScMn4Mo, computed with PBE-GGA.

The structure in extended XYZ format:
```
6
Lattice="0.0000 3.4103 3.4103 3.4103 0.0000 3.4103 3.4103 3.4103 0.0000" Properties=species:S:1:pos:R:3 pbc="T T T"
Sc 0.0000 0.0000 0.0000
Mn 2.5579 2.5579 2.5579
Mn 4.2627 4.2627 2.5579
Mn 4.2627 2.5579 4.2627
Mn 2.5579 4.2627 4.2627
Mo 5.1154 5.1154 5.1154
```

Output
DOS(E_F)   1.03 states/eV per atom
Formation energy from the elements   -58 meV/atom
M_tot   3.16 μB per cell

17.
A relaxed structure of Sc2Mn3Mo, computed with PBE-GGA.

The structure in extended XYZ format:
```
6
Lattice="4.3301 -2.6058 0.0000 4.3301 2.6058 0.0000 -2.8694 0.0000 4.0872" Properties=species:S:1:pos:R:3 pbc="T T T"
Sc -0.0004 0.0000 1.5347
Sc 5.7912 0.0000 2.5524
Mn 2.1650 1.3029 0.0000
Mn 2.1650 -1.3029 0.0000
Mn 2.8954 0.0000 2.0436
Mo 4.3301 0.0000 0.0000
```

Output
DOS(E_F)   1.05 states/eV per atom
Formation energy from the elements   -84 meV/atom
M_tot   1.53 μB per cell

18.
A relaxed structure of Sc4MnMo, computed with PBE-GGA.

The structure in extended XYZ format:
```
6
Lattice="0.0000 3.9576 3.9576 3.9576 0.0000 3.9576 3.9576 3.9576 0.0000" Properties=species:S:1:pos:R:3 pbc="T T T"
Sc 2.9768 2.9768 2.9768
Sc 4.9384 4.9384 2.9768
Sc 4.9384 2.9768 4.9384
Sc 2.9768 4.9384 4.9384
Mn 0.0000 0.0000 0.0000
Mo 5.9365 5.9365 5.9365
```

Output
DOS(E_F)   1.63 states/eV per atom
Formation energy from the elements   701 meV/atom
M_tot   4.01 μB per cell

19.
A relaxed structure of ScMnMo, computed with PBE-GGA.

The structure in extended XYZ format:
```
3
Lattice="4.3190 0.0000 0.0000 -2.1595 3.7403 0.0000 0.0000 0.0000 2.9143" Properties=species:S:1:pos:R:3 pbc="T T T"
Sc 0.0000 0.0000 0.0000
Mn 2.1595 1.2468 1.0909
Mo 0.0000 2.4936 1.7896
```

Output
DOS(E_F)   1.00 states/eV per atom
ΔE to the lowest computed polymorph   0.66 eV per formula unit
Formation energy from the elements   170 meV/atom
M_tot   0.52 μB per cell

20.
A relaxed structure of Sc3Mn8Mo, computed with PBE-GGA.

The structure in extended XYZ format:
```
12
Lattice="2.4467 1.4126 7.8730 -2.4467 1.4126 7.8730 0.0000 -2.8252 7.8730" Properties=species:S:1:pos:R:3 pbc="T T T"
Sc 0.0000 0.0000 0.0000
Sc 0.0000 0.0000 2.9738
Sc 0.0000 0.0000 14.7519
Mn 0.0000 -1.4107 5.3813
Mn -1.2217 0.7053 5.3813
Mn -1.2189 -0.7037 9.3931
Mn 0.0000 0.0000 7.3868
Mn 1.2217 0.7053 5.3813
Mn 1.2189 -0.7037 9.3931
Mn 0.0000 1.4074 9.3931
Mn 0.0000 0.0000 19.2000
Mo 0.0000 0.0000 11.8049
```

Output
DOS(E_F)   1.08 states/eV per atom
Formation energy from the elements   -89 meV/atom
M_tot   4.69 μB per cell

21.
A relaxed structure of ScMn9Mo2, computed with PBE-GGA.

The structure in extended XYZ format:
```
12
Lattice="2.3633 1.3644 7.8211 -2.3633 1.3644 7.8211 0.0000 -2.7289 7.8211" Properties=species:S:1:pos:R:3 pbc="T T T"
Sc 0.0000 0.0000 0.0000
Mn -1.2234 -0.7064 9.8231
Mn 0.0000 0.0000 7.9300
Mn 0.0000 -1.4127 13.6403
Mn -1.2234 0.7064 13.6403
Mn 0.0000 0.0000 11.7317
Mn 1.2234 -0.7064 9.8231
Mn 0.0000 1.4127 9.8231
Mn 0.0000 0.0000 15.5334
Mn 1.2234 0.7064 13.6402
Mo 0.0000 0.0000 3.2978
Mo 0.0000 0.0000 20.1656
```

Output
DOS(E_F)   1.24 states/eV per atom
Formation energy from the elements   -19 meV/atom
M_tot   1.15 μB per cell

22.
A relaxed structure of Sc2Mn2Mo, computed with PBE-GGA.

The structure in extended XYZ format:
```
10
Lattice="6.0828 0.0000 0.0000 0.0000 6.0828 0.0000 0.0000 0.0000 4.4813" Properties=species:S:1:pos:R:3 pbc="T T T"
Sc 1.0832 1.9583 0.0000
Sc 1.9583 4.9997 0.0000
Sc 4.1246 1.0832 0.0000
Sc 4.9997 4.1246 0.0000
Mn 0.7519 3.7933 2.2407
Mn 2.2895 0.7519 2.2407
Mn 3.7933 5.3309 2.2407
Mn 5.3309 2.2895 2.2407
Mo 0.0000 0.0000 2.2407
Mo 3.0414 3.0414 2.2407
```

Output
DOS(E_F)   1.29 states/eV per atom
Formation energy from the elements   38 meV/atom
M_tot   0.00 μB per cell

23.
A relaxed structure of ScMn3Mo, computed with PBE-GGA.

The structure in extended XYZ format:
```
5
Lattice="4.5737 0.0000 0.0000 0.0000 4.5737 0.0000 0.0000 0.0000 4.5737" Properties=species:S:1:pos:R:3 pbc="T T T"
Sc 0.0000 0.0000 0.0000
Mn 0.0000 2.2868 2.2868
Mn 2.2868 0.0000 2.2868
Mn 2.2868 2.2868 0.0000
Mo 2.2868 2.2868 2.2868
```

Output
DOS(E_F)   1.61 states/eV per atom
ΔE to the lowest computed polymorph   0.00 eV per formula unit
Formation energy from the elements   921 meV/atom
M_tot   7.07 μB per cell

24.
A relaxed structure of ScMn3Mo, computed with PBE-GGA.

The structure in extended XYZ format:
```
5
Lattice="4.2106 0.0000 0.0000 0.0000 4.2106 0.0000 0.0000 0.0000 4.2106" Properties=species:S:1:pos:R:3 pbc="T T T"
Sc 0.0000 0.0000 0.0000
Mn 0.0000 0.0000 2.1053
Mn 0.0000 2.1053 0.0000
Mn 2.1053 0.0000 0.0000
Mo 2.1053 2.1053 2.1053
```

Output
DOS(E_F)   1.68 states/eV per atom
ΔE to the lowest computed polymorph   4.39 eV per formula unit
Formation energy from the elements   1799 meV/atom
M_tot   0.00 μB per cell

25.
A relaxed structure of ScTaMnMo, computed with PBE-GGA.

The structure in extended XYZ format:
```
4
Lattice="0.0000 3.2162 3.2162 3.2162 0.0000 3.2162 3.2162 3.2162 0.0000" Properties=species:S:1:pos:R:3 pbc="T T T"
Sc 0.0000 0.0000 0.0000
Ta 3.2162 3.2162 3.2162
Mn 1.6081 1.6081 1.6081
Mo 4.8244 4.8244 4.8244
```

Output
DOS(E_F)   1.17 states/eV per atom
Formation energy from the elements   48 meV/atom
M_tot   2.33 μB per cell

26.
A relaxed structure of ScMnTcMo, computed with PBE-GGA.

The structure in extended XYZ format:
```
4
Lattice="0.0000 3.1127 3.1127 3.1127 0.0000 3.1127 3.1127 3.1127 0.0000" Properties=species:S:1:pos:R:3 pbc="T T T"
Sc 0.0000 0.0000 0.0000
Mn 1.5564 1.5564 1.5564
Tc 4.6691 4.6691 4.6691
Mo 3.1127 3.1127 3.1127
```

Output
DOS(E_F)   0.67 states/eV per atom
Formation energy from the elements   -65 meV/atom
M_tot   0.61 μB per cell

27.
A relaxed structure of ZrScMnMo, computed with PBE-GGA.

The structure in extended XYZ format:
```
4
Lattice="0.0000 3.3161 3.3161 3.3161 0.0000 3.3161 3.3161 3.3161 0.0000" Properties=species:S:1:pos:R:3 pbc="T T T"
Zr 0.0000 0.0000 0.0000
Sc 3.3161 3.3161 3.3161
Mn 4.9742 4.9742 4.9742
Mo 1.6581 1.6581 1.6581
```

Output
DOS(E_F)   1.17 states/eV per atom
Formation energy from the elements   106 meV/atom
M_tot   3.41 μB per cell

28.
A relaxed structure of Zr2ScMnMo, computed with PBE-GGA.

The structure in extended XYZ format:
```
5
Lattice="4.7697 0.0000 0.0000 0.0000 4.7697 0.0000 0.0000 0.0000 4.6078" Properties=species:S:1:pos:R:3 pbc="T T T"
Zr 0.0000 2.3849 0.0000
Zr 2.3849 0.0000 0.0000
Sc 0.0000 0.0000 2.3039
Mn 0.0000 0.0000 0.0000
Mo 2.3849 2.3849 2.3039
```

Output
DOS(E_F)   1.55 states/eV per atom
Formation energy from the elements   701 meV/atom
M_tot   0.00 μB per cell